The following is a DFT calculation (PBE) of an optimized crystal structure of CsCd2In4Hg.

a b c (Å): 5.136 5.136 11.730
angles (deg): 77.35 77.35 60.00
Fractional positions:
1 In 0.868 0.868 0.395
2 Cs 0.000 0.000 0.000
3 Hg 0.500 0.500 0.500
4 Cd 0.241 0.241 0.278
5 In 0.589 0.589 0.233
6 Cd 0.759 0.759 0.722
7 In 0.411 0.411 0.767
8 In 0.132 0.132 0.605

Calculated values
**Calculated density**: 6.5 g/cm3
**Space-group type**: R-3m
**Spin magnetization**: 0.000 μB/f.u.
**Formation energy**: -28 kJ/mol of formula units
**Calculated total energy**: -14.2 eV per formula unit